Entry 1:
Material: HoMnS3
Method: DFT, GGA-PBE
State: relaxed

Results
energy above the lowest structure with this stoichiometry: 0.0 kJ per mole of atoms
crystal system: orthorhombic
symmetry: Pnma, No. 62

Unit cell a=7.7463 b=3.5980 c=13.4709 alpha=90.00 beta=90.00 gamma=90.00
Fractional coordinates of all 20 atoms:
Ho 0.1533 0.2500 0.1919
Ho 0.3467 0.7500 0.6919
Ho 0.6533 0.2500 0.3081
Ho 0.8467 0.7500 0.8081
Mn 0.1810 0.7500 0.4545
Mn 0.3190 0.2500 0.9545
Mn 0.6810 0.7500 0.0455
Mn 0.8190 0.2500 0.5455
S 0.0195 0.2500 0.3864
S 0.1387 0.2500 0.7963
S 0.1658 0.7500 0.0345
S 0.3342 0.2500 0.5345
S 0.3613 0.7500 0.2963
S 0.4805 0.7500 0.8864
S 0.5195 0.2500 0.1136
S 0.6387 0.2500 0.7037
S 0.6658 0.7500 0.4655
S 0.8342 0.2500 0.9655
S 0.8613 0.7500 0.2037
S 0.9805 0.7500 0.6136



Entry 2:
Material: HoMnS3
Method: DFT, GGA-PBE
State: relaxed

Results
energy above the lowest structure with this stoichiometry: 3.0 kJ per mole of atoms
crystal system: trigonal
symmetry: R-3, No. 148

Unit cell a=6.9181 b=6.9181 c=6.9181 alpha=56.04 beta=56.04 gamma=56.04
Fractional coordinates of all 10 atoms:
Ho 0.1451 0.1451 0.1451
Ho 0.8549 0.8549 0.8549
Mn 0.3419 0.3419 0.3419
Mn 0.6581 0.6581 0.6581
S 0.0628 0.4580 0.7130
S 0.2870 0.9372 0.5420
S 0.4580 0.7130 0.0628
S 0.5420 0.2870 0.9372
S 0.7130 0.0628 0.4580
S 0.9372 0.5420 0.2870



Entry 3:
Material: HoMnS2
Method: DFT, GGA-PBE
State: relaxed

Results
crystal system: trigonal
symmetry: R-3m, No. 166

Unit cell a=8.1606 b=8.1606 c=8.1606 alpha=25.97 beta=25.97 gamma=25.97
Fractional coordinates of all 4 atoms:
Ho 0.0000 0.0000 0.0000
Mn 0.5000 0.5000 0.5000
S 0.1112 0.1112 0.1112
S 0.8888 0.8888 0.8888



Entry 4:
Material: HoMnS
Method: DFT, GGA-PBE
State: relaxed

Results
crystal system: tetragonal
symmetry: P4/nmm, No. 129

Unit cell a=3.7536 b=3.7536 c=8.4301 alpha=90.00 beta=90.00 gamma=90.00
Fractional coordinates of all 6 atoms:
Ho 0.2500 0.2500 0.2036
Ho 0.7500 0.7500 0.7964
Mn 0.2500 0.2500 0.5619
Mn 0.7500 0.7500 0.4381
S 0.2500 0.2500 0.8584
S 0.7500 0.7500 0.1416



no.,raw formation energy (meV/atom),theoretical density (Mg/m³),calculated volume (Å³ per cell)
1,-1234.1,5.6,375.45
2,-1203.1,4.9,212.67
3,-652.9,5.1,91.79
4,-1015.6,7.0,118.78